[1]
# ScCd2 PBE relaxed
# - E_form (eV/f.u.) = 0.5
# - final energy (eV per atom) = -2.526
# - theoretical density (g/cm3) = 5.9
data_ScCd2
_chemical_formula_sum 'Sc4 Cd8'
_cell_length_a 6.730
_cell_length_b 6.730
_cell_length_c 6.730
_cell_angle_alpha 90.00
_cell_angle_beta 90.00
_cell_angle_gamma 90.00
_symmetry_space_group_name_H-M 'F m -3 m'
_symmetry_Int_Tables_number 225
_symmetry_space_group_name_Hall '-F 4 2 3'
loop_
_atom_site_label
_atom_site_type_symbol
_atom_site_fract_x
_atom_site_fract_y
_atom_site_fract_z
Sc1 Sc 0.000 0.000 0.000
Cd1 Cd 0.250 0.250 0.250

---

[2]
# Nd2GdIn3AgPd2 PBE relaxed
# - final energy (eV per atom) = -4.628
# - theoretical density (g/cm3) = 8.8
data_Nd2GdIn3AgPd2
_chemical_formula_sum 'Nd4 Gd2 In6 Ag2 Pd4'
_cell_length_a 3.904
_cell_length_b 13.630
_cell_length_c 7.884
_cell_angle_alpha 90.00
_cell_angle_beta 90.00
_cell_angle_gamma 90.00
_symmetry_space_group_name_H-M 'A m m 2'
_symmetry_Int_Tables_number 38
_symmetry_space_group_name_Hall 'A 2 -2'
loop_
_atom_site_label
_atom_site_type_symbol
_atom_site_fract_x
_atom_site_fract_y
_atom_site_fract_z
Nd1 Nd 0.000 0.205 0.000
Gd1 Gd 0.000 0.000 0.385
In1 In 0.500 0.000 0.062
In2 In 0.500 0.131 0.661
Ag1 Ag 0.000 0.000 0.794
Pd1 Pd 0.500 0.164 0.296

---

[3]
# LaSbPd2N PBE relaxed
# - final energy (eV per atom) = -6.034
# - theoretical density (g/cm3) = 8.7
data_LaSbPd2N
_chemical_formula_sum 'La2 Sb2 Pd4 N2'
_cell_length_a 4.261
_cell_length_b 4.261
_cell_length_c 10.245
_cell_angle_alpha 90.00
_cell_angle_beta 90.00
_cell_angle_gamma 90.00
_symmetry_space_group_name_H-M 'P 4/n m m'
_symmetry_Int_Tables_number 129
loop_
_symmetry_equiv_pos_as_xyz
'x,y,z'
'-x,-y,-z'
'-y+1/2,x,z'
'y+1/2,-x,-z'
'-x+1/2,-y+1/2,z'
'x+1/2,y+1/2,-z'
'y,-x+1/2,z'
'-y,x+1/2,-z'
'x+1/2,-y,-z'
'-x+1/2,y,z'
'-y,-x,-z'
'y,x,z'
'-x,y+1/2,-z'
'x,-y+1/2,z'
'y+1/2,x+1/2,-z'
'-y+1/2,-x+1/2,z'
loop_
_atom_site_label
_atom_site_type_symbol
_atom_site_fract_x
_atom_site_fract_y
_atom_site_fract_z
La1 La 0.250 0.250 0.186
Sb1 Sb 0.250 0.250 0.653
Pd1 Pd 0.250 0.250 0.912
Pd2 Pd 0.250 0.750 0.500
N1 N 0.250 0.750 0.000

---

[4]
# Nd2Sm2I3NCl2 PBE relaxed
# - final energy (eV per atom) = -5.097
# - theoretical density (g/cm3) = 5.6
data_Nd2Sm2I3NCl2
_chemical_formula_sum 'Nd4 Sm4 I6 N2 Cl4'
_cell_length_a 18.543
_cell_length_b 3.930
_cell_length_c 8.694
_cell_angle_alpha 90.00
_cell_angle_beta 100.52
_cell_angle_gamma 90.00
_symmetry_space_group_name_H-M 'C 1 2/m 1'
_symmetry_Int_Tables_number 12
_symmetry_space_group_name_Hall '-C 2y'
loop_
_atom_site_label
_atom_site_type_symbol
_atom_site_fract_x
_atom_site_fract_y
_atom_site_fract_z
Nd1 Nd 0.002 0.000 0.307
Sm1 Sm 0.132 0.500 0.562
I1 I 0.000 0.500 0.000
I2 I 0.176 0.000 0.312
N1 N 0.000 0.500 0.500
Cl1 Cl 0.152 0.000 0.796